12
Lattice="13.8433 0.0000 0.0000 0.0000 2.8197 0.0000 0.0000 0.0000 4.7081" Properties=species:S:1:pos:R:3 comment="NbCr PBE relaxed" energy_ev_per_atom=-9.61 formation_enthalpy_0k_kcal_per_mol_atoms=5.49 sg="Pmn2_1 (31)" pbc="T T T"
Nb 11.1594 0.4428 0.6522
Nb 9.6056 2.3769 3.0062
Nb 2.6839 0.4428 0.6522
Nb 4.2377 2.3769 3.0062
Nb 0.0000 2.0548 4.6971
Nb 6.9216 0.7649 2.3431
Cr 12.0262 1.4475 2.9273
Cr 8.7387 1.3722 0.5733
Cr 1.8171 1.4475 2.9273
Cr 5.1046 1.3722 0.5733
Cr 0.0000 0.2744 2.2774
Cr 6.9216 2.5453 4.6315

---

16
Lattice="7.8761 0.0000 0.0000 0.0000 7.9276 0.0309 -3.9381 -3.9340 5.5713" Properties=species:S:1:pos:R:3 comment="Tb4CePu3S8 PBE relaxed" energy_ev_per_atom=-8.23 formation_energy_uncorrected_ev_per_atom=-1.946 sg="R-3m (166)" pbc="T T T"
Tb 3.9381 0.0000 0.0000
Tb 1.9690 -1.9670 2.7857
Tb 0.0000 0.0000 0.0000
Tb -1.9690 -1.9670 2.7857
Ce 0.0000 3.9638 0.0154
Pu 3.9381 3.9638 0.0154
Pu 1.9690 1.9968 2.8011
Pu -1.9690 1.9968 2.8011
S 1.9850 5.9749 0.0324
S 0.0000 3.9919 2.8409
S 0.0000 0.0066 2.7875
S 5.8911 5.9749 0.0324
S -1.9530 -1.9814 5.5698
S 3.9381 3.9870 2.8147
S 3.9381 0.0016 2.7613
S 1.9530 -1.9814 5.5698

---

10
Lattice="-2.1629 0.7346 5.3791 -2.9441 -5.0236 -0.4977 3.0653 -1.9448 1.4981" Properties=species:S:1:pos:R:3 comment="CoSi2W2 PBE relaxed" energy_ev_per_atom=-8.92 formation_energy_uncorrected_ev_per_atom=-0.150 sg="P4/mbm (127)" pbc="T T T"
Si -3.3109 -4.0562 1.5087
Si -3.7442 -2.5830 4.3079
Si -1.7961 -0.2329 3.3726
Si -1.3627 -1.7061 0.5735
Co 0.0000 0.0000 0.0000
Co -2.5535 -2.1445 2.4407
W -0.8169 -4.2212 1.3389
W -2.3586 -4.6393 3.9506
W -1.2248 -2.0127 5.0405
W 0.3170 -1.5945 2.4288

---

20
Lattice="-3.4459 3.1948 2.3046 -3.0022 -7.2607 5.5762 8.4924 4.9458 5.8420" Properties=species:S:1:pos:R:3 comment="Dy6TlIn3 PBE relaxed" energy_ev_per_atom=-4.16 formation_enthalpy_0k_kcal_per_mol_atoms=-7.85 sg="P2_1/m (11)" pbc="T T T"
Dy -1.4572 -2.0257 3.6007
Dy 3.5015 2.9056 10.1221
Dy 0.2130 0.7207 2.2908
Dy 1.8314 0.1592 11.4320
Dy 2.9690 -0.5826 8.2185
Dy -0.9247 1.4626 5.5043
Dy 2.6869 1.5133 4.8911
Dy -0.6425 -0.6334 8.8317
Dy -0.7965 -3.7366 6.9604
Dy 2.8408 4.6165 6.7624
Dy 6.3248 4.4348 6.2807
Dy -4.2804 -3.5549 7.4422
Tl 1.4629 -3.0607 9.4018
Tl 0.5814 3.9406 4.3210
In 0.8435 -1.1286 5.7973
In 1.2008 2.0086 7.9255
In 4.7093 1.9443 7.3177
In -2.6650 -1.0643 6.4051
In 5.0743 -0.0500 10.6282
In -3.0300 0.9300 3.0946

---

12
Lattice="5.5862 0.0000 0.0000 -2.7931 4.8378 0.0000 0.0000 0.0000 6.6410" Properties=species:S:1:pos:R:3 comment="NaScIr2O8 PBE relaxed" energy_ev_per_atom=-6.46 formation_energy_uncorrected_ev_per_atom=-1.045 sg="P-3 (147)" pbc="T T T"
Na 0.0000 0.0000 3.3205
Sc 0.0000 0.0000 0.0000
Ir 2.7931 1.6126 0.3157
Ir 0.0000 3.2252 6.3253
O 3.4763 3.0321 5.7749
O 1.2222 1.4945 5.7749
O 3.6808 0.3112 5.7749
O -0.6832 1.8057 0.8661
O 1.5709 3.3433 0.8661
O -0.8877 4.5266 0.8661
O 2.7931 1.6126 2.1286
O 0.0000 3.2252 4.5124

---

12
Lattice="-1.0091 3.9375 1.4801 -5.6425 -1.9580 1.3616 5.3417 -2.6928 4.4842" Properties=species:S:1:pos:R:3 comment="TaV5Tc6 PBE relaxed" energy_ev_per_atom=-10.34 formation_enthalpy_0k_kcal_per_mol_atoms=-8.55 sg="Immm (71)" pbc="T T T"
V 0.1784 1.3917 2.7407
V 1.3450 -1.1362 3.9397
V -2.8212 -0.9790 0.6808
V -2.6549 0.4229 3.3862
V -1.4884 -2.1050 4.5852
Tc -0.5639 0.3582 4.9841
Tc 2.2229 1.3253 4.3117
Tc -4.7007 0.5126 1.7526
Tc -1.9509 1.4669 1.0891
Tc -3.5329 -2.0385 3.0142
Tc -0.7460 -1.0714 2.3417
Ta 0.0000 0.0000 0.0000

---

4
Lattice="-2.7151 -2.5896 0.2894 -0.4776 -2.5393 -2.7360 1.9056 -4.5833 1.3331" Properties=species:S:1:pos:R:3 comment="PaH2Cl PBE relaxed" energy_ev_per_atom=-5.10 sg="R-3m (166)" pbc="T T T"
H 0.1278 -2.8630 0.0469
H -1.4149 -6.8492 -1.1603
Pa -0.6435 -4.8561 -0.5567
Cl 0.0000 0.0000 0.0000

---

12
Lattice="-3.3185 -2.1381 -9.0692 -3.6841 -5.3271 1.1008 -6.3191 0.6116 1.4164" Properties=species:S:1:pos:R:3 comment="Tb6Tl5Pb PBE relaxed" polymorph_energy_ev_per_atom=0.0821 energy_ev_per_atom=-3.89 formation_enthalpy_0k_kcal_per_mol_atoms=-6.52 sg="C2/m (12)" pbc="T T T"
Tb -4.9074 -1.8474 -6.2194
Tb -5.0875 -3.4288 -1.1701
Tb -1.7513 -1.8684 -1.9876
Tb -5.2512 -5.5968 -5.9808
Tb -8.2341 -3.4248 -5.3818
Tb -8.4142 -5.0062 -0.3325
Tl -6.4980 -1.5404 -3.4045
Tl -3.3495 -1.5608 0.8420
Tl -3.5013 -3.7326 -3.9842
Tl -6.6536 -3.1548 1.6752
Tl -6.8236 -5.3132 -3.1474
Pb 0.0000 0.0000 0.0000

---

20
Lattice="-0.2236 3.6485 -1.4086 -2.9121 -1.0971 -2.3795 -13.0044 4.5395 13.8226" Properties=species:S:1:pos:R:3 comment="Fe4CuPt15 PBE relaxed" energy_ev_per_atom=-6.63 formation_enthalpy_0k_kcal_per_mol_atoms=-4.59 sg="P4/mmm (123)" pbc="T T T"
Fe -2.5796 0.9005 2.7419
Fe -5.1804 1.8084 5.5064
Fe -7.8240 2.7311 8.3162
Fe -10.4248 3.6390 11.0807
Cu 0.0000 0.0000 0.0000
Pt -1.5679 1.2757 -1.8940
Pt -4.1675 2.1832 0.8692
Pt -6.7685 3.0911 3.6339
Pt -9.3716 3.9998 6.4007
Pt -11.9726 4.9078 9.1654
Pt -1.4201 2.2810 0.6864
Pt -4.0072 3.1840 3.4362
Pt -6.6140 4.0940 6.2070
Pt -9.2208 5.0040 8.9778
Pt -11.8079 5.9071 11.7276
Pt -2.7644 -0.0918 0.2009
Pt -5.3515 0.8112 2.9507
Pt -7.9583 1.7212 5.7216
Pt -10.5651 2.6312 8.4924
Pt -13.1521 3.5342 11.2422

---

4
Lattice="-3.0909 2.4988 1.8722 -1.3692 -2.1815 0.6511 2.4007 -1.4712 5.9268" Properties=species:S:1:pos:R:3 comment="Li2CaOs PBE relaxed" polymorph_energy_ev_per_atom=0.0332 energy_ev_per_atom=-3.90 formation_enthalpy_0k_kcal_per_mol_atoms=8.46 sg="Pm (6)" pbc="T T T"
Ca -0.9548 -1.5482 5.6449
Li 0.0537 -0.2924 0.4789
Li -1.1140 0.5224 2.6185
Os 0.4716 -1.6621 2.9968

---

14
Lattice="7.4961 0.0194 0.0139 3.6021 6.5739 0.0139 3.6021 2.1400 6.2158" Properties=species:S:1:pos:R:3 comment="NiAg2Sn3S8 PBE relaxed" polymorph_energy_ev_per_atom=0.0000 energy_ev_per_atom=-4.35 formation_energy_uncorrected_ev_per_atom=-0.310 sg="R-3m (166)" pbc="T T T"
Ni 7.3502 4.3666 3.1218
Ag 13.0841 7.7730 5.5571
Ag 1.6163 0.9602 0.6865
Sn 5.5491 1.0797 3.1148
Sn 5.5491 3.2966 0.0139
Sn 3.6021 4.3569 3.1148
S 5.5741 5.2683 1.6984
S 3.7259 2.2135 1.5825
S 7.4077 6.3576 4.5452
S 9.1262 5.4217 1.8081
S 9.1262 3.4649 4.5452
S 10.9745 6.5198 4.6611
S 7.2926 2.3756 1.6984
S 5.5741 3.3115 4.4355

---

10
Lattice="-3.3060 -1.9395 1.5532 2.0616 -0.6980 3.5166 -3.6451 9.4219 4.0070" Properties=species:S:1:pos:R:3 comment="Ca2BeGe4Pd3 PBE relaxed" energy_ev_per_atom=-4.73 formation_enthalpy_0k_kcal_per_mol_atoms=-12.76 sg="P-4m2 (115)" pbc="T T T"
Ca -2.5989 1.4753 1.8164
Ca -1.6684 6.6279 4.7254
Be -2.4448 3.3922 4.5384
Ge -0.6222 -1.3188 2.5349
Ge 0.0000 0.0000 0.0000
Ge -3.9457 4.9564 3.2969
Ge -0.3216 3.1468 3.2450
Pd -1.8226 4.7110 2.0035
Pd -4.7865 7.1298 4.2212
Pd 0.5192 0.9734 2.3207

---

6
Lattice="-1.8182 2.6013 2.1035 -3.2577 -0.8320 -1.7869 1.1860 -5.5966 4.5002" Properties=species:S:1:pos:R:3 comment="NdBC PBE relaxed" polymorph_energy_ev_per_atom=0.0416 energy_ev_per_atom=-7.21 formation_enthalpy_0k_kcal_per_mol_atoms=-7.47 sg="I4/mmm (139)" pbc="T T T"
B -0.1590 -0.5542 0.5479
B -3.7308 -3.2731 4.2690
Nd -2.9492 -0.5489 1.5756
Nd -0.9406 -3.2784 3.2412
C -3.4450 -2.2769 3.2841
C -0.4448 -1.5503 1.5327

---

4
Lattice="5.1197 0.0000 0.0000 2.5598 4.4338 0.0000 2.5598 1.4779 4.1802" Properties=species:S:1:pos:R:3 comment="ErLuMgAu PBE relaxed" energy_ev_per_atom=-3.91 formation_enthalpy_0k_kcal_per_mol_atoms=-9.69 sg="F-43m (216)" pbc="T T T"
Mg 5.1197 2.9558 2.0901
Lu 7.6795 4.4338 3.1352
Au 0.0000 0.0000 0.0000
Er 2.5598 1.4779 1.0451

---

4
Lattice="0.0000 3.1716 3.1716 3.1716 0.0000 3.1716 3.1716 3.1716 0.0000" Properties=species:S:1:pos:R:3 comment="NaV2Pt PBE relaxed" polymorph_energy_ev_per_atom=0.0000 energy_ev_per_atom=-5.95 formation_enthalpy_0k_kcal_per_mol_atoms=10.35 sg="Fm-3m (225)" pbc="T T T"
Na 0.0000 0.0000 0.0000
Pt 3.1716 3.1716 3.1716
V 1.5858 1.5858 1.5858
V 4.7574 4.7574 4.7574

---

5
Lattice="-0.0723 -3.8382 2.2230 3.7512 -1.2393 -2.0178 2.8035 2.1876 3.8684" Properties=species:S:1:pos:R:3 comment="BP2OsS PBE relaxed" polymorph_energy_ev_per_atom=0.4334 energy_ev_per_atom=-5.10 formation_energy_uncorrected_ev_per_atom=1.471 sg="P4/mmm (123)" pbc="T T T"
P 1.8756 -0.6196 -1.0089
P -0.0362 -1.9191 1.1115
S 1.4018 1.0938 1.9342
B 3.2412 -1.4450 2.0368
Os 0.0000 0.0000 0.0000

---

4
Lattice="-1.6029 -2.4100 1.5516 0.1647 -3.0775 -1.1345 7.6808 -3.5277 5.9308" Properties=species:S:1:pos:R:3 comment="Hf2ZrPb PBE relaxed" polymorph_energy_ev_per_atom=0.1837 energy_ev_per_atom=-7.99 formation_enthalpy_0k_kcal_per_mol_atoms=1.15 sg="R3m (160)" pbc="T T T"
Hf 5.5932 -3.0931 4.4491
Hf 1.6051 -2.2631 1.6186
Zr 3.1240 -4.5081 3.1759
Pb -0.9585 -3.6584 0.2783

---

12
Lattice="9.0804 2.4452 -0.8212 -2.9483 4.1303 -2.0709 -0.0067 -1.3905 4.4979" Properties=species:S:1:pos:R:3 comment="MnOs4W PBE relaxed" polymorph_energy_ev_per_atom=0.0000 energy_ev_per_atom=-11.06 formation_enthalpy_0k_kcal_per_mol_atoms=2.58 sg="Pmmm (47)" pbc="T T T"
Mn 6.8624 4.1522 2.1234
Mn -0.7370 1.0328 -0.5176
Os 1.2321 2.6983 -0.0017
Os 3.4194 4.5523 0.5722
Os -1.2320 3.2360 0.9523
Os 5.8830 4.0144 -0.3819
Os 4.8933 2.4868 1.6076
Os 7.3574 1.9491 0.6536
Os 2.7060 0.6328 1.0336
Os 0.2423 1.1707 1.9877
W 3.8030 2.2552 -0.9283
W 2.3223 2.9299 2.5341

---

24
Lattice="8.2550 0.0000 0.0000 0.0000 8.2550 0.0000 0.0000 0.0000 5.3996" Properties=species:S:1:pos:R:3 comment="Sr2ZnGe2O7 PBE relaxed" energy_ev_per_atom=-6.24 formation_energy_uncorrected_ev_per_atom=-2.194 sg="P-42_1m (113)" pbc="T T T"
Sr 5.4949 1.3674 2.7392
Sr 6.8876 5.4949 2.6605
Sr 1.3674 2.7601 2.6605
Sr 2.7601 6.8876 2.7392
Zn 0.0000 0.0000 0.0000
Zn 4.1275 4.1275 0.0000
Ge 7.0758 2.9483 5.1459
Ge 1.1792 5.3066 5.1459
Ge 5.3066 7.0758 0.2537
Ge 2.9483 1.1792 0.2537
O 5.6048 3.4444 4.2788
O 2.6502 4.8106 4.2788
O 3.4444 2.6502 1.1208
O 4.8106 5.6048 1.1208
O 7.5719 1.4773 4.2788
O 6.7777 7.5719 1.1208
O 1.4773 0.6831 1.1208
O 0.6831 6.7777 4.2788
O 7.1122 2.9847 1.4850
O 5.2703 7.1122 3.9147
O 4.1275 0.0000 0.9883
O 0.0000 4.1275 4.4113
O 1.1428 5.2703 1.4850
O 2.9847 1.1428 3.9147

---

8
Lattice="4.4400 0.0000 1.3106 2.0266 3.9506 1.3106 0.0300 0.0183 8.0743" Properties=species:S:1:pos:R:3 comment="YHf3Ru4 PBE relaxed" energy_ev_per_atom=-9.87 formation_enthalpy_0k_kcal_per_mol_atoms=-15.91 sg="R-3m (166)" pbc="T T T"
Y 0.0000 0.0000 0.0000
Ru 5.6504 3.4519 5.3865
Ru 2.4767 1.5131 7.9618
Ru 0.8463 0.5170 5.3091
Ru 4.0199 2.4558 2.7338
Hf 1.6136 0.9858 2.7097
Hf 4.8830 2.9831 7.9859
Hf 3.2483 1.9844 5.3478

---

12
Lattice="5.8008 0.0000 0.0000 0.0000 7.4120 0.0000 -2.9004 -3.7060 9.3671" Properties=species:S:1:pos:R:3 comment="K3ZnO2 PBE relaxed" polymorph_energy_ev_per_atom=0.0000 energy_ev_per_atom=-3.43 formation_energy_uncorrected_ev_per_atom=-1.016 sg="Ibam (72)" pbc="T T T"
K 2.9004 1.8530 0.0000
K 2.9004 5.5590 0.0000
K 2.9004 -1.8530 6.4362
K 0.0000 1.8530 2.9309
K 0.0000 5.5590 2.9309
K 2.9004 1.8530 6.4362
Zn 0.0000 3.7060 0.0000
Zn 0.0000 0.0000 0.0000
O 1.7240 0.0000 8.0404
O 4.6244 0.0000 1.3267
O -1.7240 3.7060 8.0404
O 1.1764 3.7060 1.3267

---

3
Lattice="-1.5392 -1.1459 4.3493 4.6642 0.2951 -0.8695 -0.0404 2.6679 0.6886" Properties=species:S:1:pos:R:3 comment="CaMnRe PBE relaxed" polymorph_energy_ev_per_atom=0.3194 energy_ev_per_atom=-7.13 formation_enthalpy_0k_kcal_per_mol_atoms=17.20 sg="P3m1 (156)" pbc="T T T"
Re 2.5762 1.1522 1.2153
Ca -0.0404 2.6679 0.6886
Mn 0.5085 0.6649 2.9531